Entry 1:
Entry from the Alexandria database: a relaxed structure of TbY2HoSe4 (PBE).

abc: 7.0797 4.0390 7.1089
angles: 90.00 108.96 90.00
Element x y z (fractional)
Tb  0.0000  0.0000  0.0000
Y  0.5000  0.0000  0.5000
Y  0.5000  0.5000  0.0000
Ho  0.0000  0.5000  0.5000
Se  0.2482  0.0000  0.7476
Se  0.2495  0.5000  0.2517
Se  0.7505  0.5000  0.7483
Se  0.7518  0.0000  0.2524

Its total energy is -6.26 eV per atom.



Entry 2:
Entry from the Alexandria database: a relaxed structure of TbYHo2Se6 (PBE).

abc: 7.6968 7.6968 7.6968
angles: 55.76 55.76 55.76
Element x y z (fractional)
Tb  0.0000  0.0000  0.0000
Y  0.4996  0.4996  0.4996
Ho  0.3037  0.3037  0.3037
Ho  0.8040  0.8040  0.8040
Se  0.0940  0.4056  0.7033
Se  0.2043  0.9045  0.5937
Se  0.4056  0.7033  0.0940
Se  0.5937  0.2043  0.9045
Se  0.7033  0.0940  0.4056
Se  0.9045  0.5937  0.2043

Its total energy is -5.97 eV per atom.



Entry 3:
Entry from the Alexandria database: a relaxed structure of Tb2YHo3Se6 (PBE).

abc: 9.1060 9.1060 8.1822
angles: 103.25 103.25 25.78
Element x y z (fractional)
Tb  0.1670  0.1670  0.3338
Tb  0.8330  0.8330  0.6662
Y  0.5000  0.5000  0.0000
Ho  0.1670  0.1670  0.8327
Ho  0.5000  0.5000  0.5000
Ho  0.8330  0.8330  0.1673
Se  0.0008  0.0008  0.7484
Se  0.3329  0.3329  0.9194
Se  0.3344  0.3344  0.4148
Se  0.6656  0.6656  0.5852
Se  0.6671  0.6671  0.0806
Se  0.9992  0.9992  0.2516

Its total energy is -5.94 eV per atom.



Entry 4:
Entry from the Alexandria database: a relaxed structure of Ho2TcSe (PBE).

abc: 3.5322 3.5322 6.9022
angles: 90.00 90.00 90.00
Element x y z (fractional)
Ho  0.0000  0.0000  0.2370
Ho  0.0000  0.0000  0.7630
Tc  0.5000  0.5000  0.0000
Se  0.5000  0.5000  0.5000

Its total energy is -6.47 eV per atom.



Entry 5:
Entry from the Alexandria database: a relaxed structure of Ho4TeSe3 (PBE).

abc: 4.0744 4.0744 27.6268
angles: 90.00 90.00 120.00
Element x y z (fractional)
Ho  0.0000  0.0000  0.1767
Ho  0.0000  0.0000  0.3233
Ho  0.0000  0.0000  0.6767
Ho  0.0000  0.0000  0.8233
Ho  0.3333  0.6667  0.0631
Ho  0.3333  0.6667  0.4369
Ho  0.6667  0.3333  0.5631
Ho  0.6667  0.3333  0.9369
Te  0.3333  0.6667  0.2500
Te  0.6667  0.3333  0.7500
Se  0.0000  0.0000  0.0000
Se  0.0000  0.0000  0.5000
Se  0.3333  0.6667  0.6196
Se  0.3333  0.6667  0.8804
Se  0.6667  0.3333  0.1196
Se  0.6667  0.3333  0.3804

For the energy above the most stable polymorph in this dataset, the calculation gives 0 meV/atom.



Entry 6:
Entry from the Alexandria database: a relaxed structure of Ho3TeSe3 (PBE).

abc: 8.3070 8.3070 8.3070
angles: 59.53 59.53 59.53
Element x y z (fractional)
Ho  0.1050  0.4790  0.7011
Ho  0.2989  0.8950  0.5210
Ho  0.4790  0.7011  0.1050
Ho  0.5210  0.2989  0.8950
Ho  0.7011  0.1050  0.4790
Ho  0.8950  0.5210  0.2989
Te  0.3279  0.3279  0.3279
Te  0.6721  0.6721  0.6721
Se  0.1059  0.8380  0.3665
Se  0.1620  0.6335  0.8941
Se  0.3665  0.1059  0.8380
Se  0.6335  0.8941  0.1620
Se  0.8380  0.3665  0.1059
Se  0.8941  0.1620  0.6335

For the energy above the most stable polymorph in this dataset, the calculation gives 90 meV/atom.



Entry 7:
Entry from the Alexandria database: a relaxed structure of Ho4TeSe5 (PBE).

abc: 9.1914 9.1914 8.5684
angles: 105.80 105.80 26.01
Element x y z (fractional)
Ho  0.0056  0.0056  0.2739
Ho  0.3162  0.3162  0.8765
Ho  0.6838  0.6838  0.1235
Ho  0.9944  0.9944  0.7261
Te  0.5000  0.5000  0.0000
Se  0.1600  0.1600  0.8714
Se  0.1640  0.1640  0.3297
Se  0.5000  0.5000  0.5000
Se  0.8360  0.8360  0.6703
Se  0.8400  0.8400  0.1286

Its total energy is -5.60 eV per atom.



Entry 8:
Entry from the Alexandria database: a relaxed structure of HoTeSe (PBE).

abc: 4.8743 4.8743 7.6298
angles: 90.00 90.00 90.00
Element x y z (fractional)
Ho  0.2500  0.2500  0.1886
Ho  0.7500  0.7500  0.8114
Te  0.2500  0.7500  0.5000
Te  0.7500  0.2500  0.5000
Se  0.2500  0.7500  0.0000
Se  0.7500  0.2500  0.0000

For the energy above the most stable polymorph in this dataset, the calculation gives 113 meV/atom.



Entry 9:
Entry from the Alexandria database: a relaxed structure of Ho5Te2Se5 (PBE).

abc: 7.0385 7.0385 12.5831
angles: 102.22 102.22 32.92
Element x y z (fractional)
Ho  0.0000  0.0000  0.0000
Ho  0.1179  0.1179  0.4347
Ho  0.2828  0.2828  0.1822
Ho  0.7172  0.7172  0.8178
Ho  0.8821  0.8821  0.5653
Te  0.0406  0.0406  0.7775
Te  0.9594  0.9594  0.2225
Se  0.2631  0.2631  0.6472
Se  0.3432  0.3432  0.9524
Se  0.5000  0.5000  0.5000
Se  0.6568  0.6568  0.0476
Se  0.7369  0.7369  0.3528

Its total energy is -5.57 eV per atom.



Entry 10:
Entry from the Alexandria database: a relaxed structure of Ho8TeSe6 (PBE).

abc: 10.4582 10.4582 4.0659
angles: 90.00 90.00 120.00
Element x y z (fractional)
Ho  0.0368  0.3258  0.2419
Ho  0.2890  0.9632  0.2419
Ho  0.3258  0.2890  0.7581
Ho  0.3333  0.6667  0.7527
Ho  0.6667  0.3333  0.2473
Ho  0.6742  0.7110  0.2419
Ho  0.7110  0.0368  0.7581
Ho  0.9632  0.6742  0.7581
Te  0.0000  0.0000  0.0000
Se  0.1309  0.6485  0.2533
Se  0.3515  0.4824  0.2533
Se  0.4824  0.1309  0.7467
Se  0.5176  0.8691  0.2533
Se  0.6485  0.5176  0.7467
Se  0.8691  0.3515  0.7467

Its total energy is -5.38 eV per atom.



Entry 11:
Entry from the Alexandria database: a relaxed structure of Ho4TeSe2 (PBE).

abc: 7.1159 7.1159 3.9610
angles: 90.00 90.00 110.27
Element x y z (fractional)
Ho  0.0000  0.5000  0.5000
Ho  0.2239  0.2239  0.0000
Ho  0.5000  0.0000  0.5000
Ho  0.7761  0.7761  0.0000
Te  0.5000  0.5000  0.5000
Se  0.1872  0.8128  0.0000
Se  0.8128  0.1872  0.0000

Its total energy is -5.15 eV per atom.



Entry 12:
Entry from the Alexandria database: a relaxed structure of Ho3Te3Se (PBE).

abc: 9.8141 9.8141 6.1087
angles: 90.00 90.00 119.95
Element x y z (fractional)
Ho  0.1722  0.3438  0.7500
Ho  0.1715  0.8285  0.7500
Ho  0.3438  0.1722  0.2500
Ho  0.6562  0.8278  0.7500
Ho  0.8285  0.1715  0.2500
Ho  0.8278  0.6562  0.2500
Te  0.1798  0.8202  0.2500
Te  0.1806  0.3605  0.2500
Te  0.3605  0.1806  0.7500
Te  0.6395  0.8194  0.2500
Te  0.8194  0.6395  0.7500
Te  0.8202  0.1798  0.7500
Se  0.3331  0.6669  0.7500
Se  0.6669  0.3331  0.2500

Its total energy is -5.10 eV per atom.



Entry 13:
Entry from the Alexandria database: a relaxed structure of HoTeSe (PBE).

abc: 11.4346 11.4346 11.4346
angles: 22.91 22.91 22.91
Element x y z (fractional)
Ho  0.0611  0.0611  0.0611
Ho  0.9389  0.9389  0.9389
Te  0.2257  0.2257  0.2257
Te  0.7743  0.7743  0.7743
Se  0.3387  0.3387  0.3387
Se  0.6613  0.6613  0.6613

For the energy above the most stable polymorph in this dataset, the calculation gives 495 meV/atom.



Entry 14:
Entry from the Alexandria database: a relaxed structure of Ho4TeSe (PBE).

abc: 7.9491 7.9491 7.9491
angles: 105.92 105.92 116.83
Element x y z (fractional)
Ho  0.1627  0.4655  0.6972
Ho  0.2155  0.0182  0.8028
Ho  0.2155  0.4127  0.1972
Ho  0.2845  0.0000  0.2845
Ho  0.7155  0.0000  0.7155
Ho  0.7500  0.5345  0.7845
Ho  0.7500  0.9655  0.2155
Ho  0.7682  0.4655  0.3028
Te  0.2433  0.7433  0.5000
Te  0.4933  0.4933  0.0000
Se  0.7210  0.2210  0.5000
Se  0.9710  0.9710  0.0000

Its total energy is -4.89 eV per atom.



Entry 15:
Entry from the Alexandria database: a relaxed structure of Ho5Te5Se2 (PBE).

abc: 7.3395 7.3395 12.6935
angles: 104.80 104.80 33.10
Element x y z (fractional)
Ho  0.0000  0.0000  0.0000
Ho  0.1089  0.1089  0.4087
Ho  0.3150  0.3150  0.1938
Ho  0.6850  0.6850  0.8062
Ho  0.8911  0.8911  0.5913
Te  0.2518  0.2518  0.6467
Te  0.3365  0.3365  0.9483
Te  0.5000  0.5000  0.5000
Te  0.6635  0.6635  0.0517
Te  0.7482  0.7482  0.3533
Se  0.0387  0.0387  0.7904
Se  0.9613  0.9613  0.2096

Its total energy is -5.29 eV per atom.



Entry 16:
Entry from the Alexandria database: a relaxed structure of Ho6Te2Se (PBE).

abc: 6.6985 7.6208 11.8892
angles: 90.00 122.64 90.00
Element x y z (fractional)
Ho  0.0929  0.1984  0.4542
Ho  0.0929  0.3016  0.9542
Ho  0.3019  0.6657  0.4493
Ho  0.3019  0.8343  0.9493
Ho  0.4025  0.0278  0.2385
Ho  0.4025  0.4722  0.7385
Ho  0.5975  0.5278  0.2615
Ho  0.5975  0.9722  0.7615
Ho  0.6981  0.1657  0.0507
Ho  0.6981  0.3343  0.5507
Ho  0.9071  0.6984  0.0458
Ho  0.9071  0.8016  0.5458
Te  0.1556  0.1263  0.7365
Te  0.1556  0.3737  0.2365
Te  0.8444  0.6263  0.7635
Te  0.8444  0.8737  0.2635
Se  0.5000  0.0000  0.5000
Se  0.5000  0.5000  0.0000

Its total energy is -5.04 eV per atom.



Entry 17:
Entry from the Alexandria database: a relaxed structure of Ho2Te2Se (PBE).

abc: 8.5432 6.1913 12.4866
angles: 90.00 90.00 90.00
Element x y z (fractional)
Ho  0.0820  0.2500  0.2391
Ho  0.1546  0.2500  0.5772
Ho  0.3454  0.7500  0.0772
Ho  0.4180  0.7500  0.7391
Ho  0.5820  0.2500  0.2609
Ho  0.6546  0.2500  0.9228
Ho  0.8454  0.7500  0.4228
Ho  0.9180  0.7500  0.7609
Te  0.0698  0.7500  0.2252
Te  0.1490  0.7500  0.5689
Te  0.3510  0.2500  0.0689
Te  0.4302  0.2500  0.7252
Te  0.5698  0.7500  0.2748
Te  0.6490  0.7500  0.9311
Te  0.8510  0.2500  0.4311
Te  0.9302  0.2500  0.7748
Se  0.1825  0.7500  0.8928
Se  0.3175  0.2500  0.3928
Se  0.6825  0.7500  0.6072
Se  0.8175  0.2500  0.1072

For the energy above the most stable polymorph in this dataset, the calculation gives 68 meV/atom.



Entry 18:
Entry from the Alexandria database: a relaxed structure of Ho2Te2Se (PBE).

abc: 7.4890 7.4890 7.8338
angles: 115.48 115.48 60.53
Element x y z (fractional)
Ho  0.1497  0.6742  0.9657
Ho  0.3258  0.8503  0.5343
Ho  0.6742  0.1497  0.4657
Ho  0.8503  0.3258  0.0343
Te  0.2451  0.4395  0.2589
Te  0.4395  0.2451  0.7589
Te  0.5605  0.7549  0.2411
Te  0.7549  0.5605  0.7411
Se  0.0478  0.9522  0.7500
Se  0.9522  0.0478  0.2500

For the energy above the most stable polymorph in this dataset, the calculation gives 0 meV/atom.



Entry 19:
Entry from the Alexandria database: a relaxed structure of Ho2TeSe2 (PBE).

abc: 5.4307 7.7488 8.1493
angles: 83.38 70.55 69.55
Element x y z (fractional)
Ho  0.0073  0.4855  0.2499
Ho  0.2420  0.0145  0.2496
Ho  0.7580  0.9855  0.7504
Ho  0.9927  0.5145  0.7501
Te  0.3750  0.7500  0.7507
Te  0.6250  0.2500  0.2493
Se  0.0293  0.7501  0.4416
Se  0.2792  0.2500  0.9409
Se  0.7208  0.7500  0.0591
Se  0.9707  0.2499  0.5584

For the energy above the most stable polymorph in this dataset, the calculation gives 345 meV/atom.



Entry 20:
Entry from the Alexandria database: a relaxed structure of HoTeSe (PBE).

abc: 7.7785 7.7785 7.7785
angles: 148.72 136.57 54.49
Element x y z (fractional)
Ho  0.1545  0.1545  0.0000
Ho  0.8455  0.8455  0.0000
Te  0.2520  0.5000  0.7520
Te  0.7480  0.5000  0.2480
Se  0.2882  0.7882  0.5000
Se  0.7118  0.2118  0.5000

For the energy above the most stable polymorph in this dataset, the calculation gives 0 meV/atom.



no.,total moment (μB per cell)
1,0.0
2,0.0
3,0.0
4,0.0
5,0.0
6,0.0
7,0.0
8,0.0
9,0.0
10,0.0
11,0.0
12,0.0
13,0.0
14,0.0
15,0.0
16,0.0
17,0.0
18,0.0
19,0.0
20,0.0